No. 1
Material: Li3H3N2
Method: DFT, PBEsol
State: relaxed Values from VASP.

Calculated values
total magnetization: 0.0 μB/cell
space group: No. 6
calculated total energy: -4.642 eV/atom

Structure (Quantum ESPRESSO input):
```
&SYSTEM
  ibrav = 0, nat = 8, ntyp = 3
/
ATOMIC_SPECIES
H 1.01 H.upf
N 14.01 N.upf
Li 6.94 Li.upf
CELL_PARAMETERS angstrom
3.3842 0.0000 0.0000
0.0000 3.6679 0.0260
0.0000 -0.1255 5.1119
ATOMIC_POSITIONS angstrom
H 2.5870 3.4050 4.6960
H 1.6921 2.4930 3.2317
H 0.7972 3.4050 4.6960
N 0.0000 0.2152 0.1144
N 1.6921 1.8410 2.4201
Li 0.0000 1.9605 1.2207
Li 1.6921 0.0976 1.6139
Li 0.0000 1.3243 3.4625
```



No. 2
Material: NaAuBr2
Method: DFT, PBEsol
State: relaxed Values from VASP.

Calculated values
total magnetization: 0.0 μB/cell
space group: No. 166
E_form (uncorrected): -0.717 eV per atom

Structure (Quantum ESPRESSO input):
```
&SYSTEM
  ibrav = 0, nat = 4, ntyp = 3
/
ATOMIC_SPECIES
Na 22.99 Na.upf
Au 196.97 Au.upf
Br 79.90 Br.upf
CELL_PARAMETERS angstrom
-0.9557 -3.3696 -2.7868
-0.0628 -4.2103 1.5178
-7.7069 -1.8158 1.2440
ATOMIC_POSITIONS angstrom
Na -4.3626 -4.6979 -0.0125
Au 0.0000 0.0000 0.0000
Br -3.3311 -7.3568 -0.7457
Br -5.3942 -2.0390 0.7207
```



No. 3
Material: TcMo2P
Method: DFT, PBEsol
State: relaxed Values from VASP.

Calculated values
total magnetization: 0.0 μB/cell
space group: No. 44
DFT formation energy: -0.218 eV/atom

Structure (Quantum ESPRESSO input):
```
&SYSTEM
  ibrav = 0, nat = 4, ntyp = 3
/
ATOMIC_SPECIES
Mo 95.94 Mo.upf
P 30.97 P.upf
Tc 98.00 Tc.upf
CELL_PARAMETERS angstrom
-0.6325 2.6533 -1.1310
0.3158 -1.6191 -3.9752
-4.0818 -1.5007 2.6169
ATOMIC_POSITIONS angstrom
Mo -4.3610 -0.4578 -2.4899
Mo -2.6569 0.7837 -0.5303
P -0.2004 0.5073 -2.5525
Tc -1.7370 -1.2491 -1.9591
```



No. 4
Material: Mn2BeTe
Method: DFT, PBEsol
State: relaxed Values from VASP.

Calculated values
total magnetization: 0.0 μB/cell
polymorph energy (0 for the lowest one): 117 meV per atom
space group: No. 99
E_form (uncorrected): 0.434 eV per atom

Structure (Quantum ESPRESSO input):
```
&SYSTEM
  ibrav = 0, nat = 4, ntyp = 3
/
ATOMIC_SPECIES
Be 9.01 Be.upf
Te 127.60 Te.upf
Mn 54.94 Mn.upf
CELL_PARAMETERS angstrom
2.8891 0.0000 0.0000
0.0000 2.8891 0.0000
0.0000 0.0000 7.3132
ATOMIC_POSITIONS angstrom
Be 1.4446 1.4446 6.3028
Te 0.0000 0.0000 3.1800
Mn 0.0000 0.0000 0.0620
Mn 1.4446 1.4446 1.4250
```



No. 5
Material: CdHg2Pb
Method: DFT, PBEsol
State: relaxed Values from VASP.

Calculated values
total magnetization: 0.0 μB/cell
space group: No. 12
DFT formation energy: 0.021 eV/atom

Structure (Quantum ESPRESSO input):
```
&SYSTEM
  ibrav = 0, nat = 4, ntyp = 3
/
ATOMIC_SPECIES
Pb 207.20 Pb.upf
Hg 200.59 Hg.upf
Cd 112.41 Cd.upf
CELL_PARAMETERS angstrom
3.4888 0.0000 0.0000
0.0000 5.9061 -0.1564
-1.7444 -1.0599 4.7631
ATOMIC_POSITIONS angstrom
Pb 1.7444 0.0000 0.0000
Hg 0.0000 1.0656 2.4179
Hg 1.7444 3.7807 2.1888
Cd 0.0000 2.9531 -0.0782
```



No. 6
Material: InReAs
Method: DFT, PBEsol
State: relaxed Values from VASP.

Calculated values
total magnetization: 0.0 μB/cell
polymorph energy (0 for the lowest one): 0 meV per atom
space group: No. 216
DFT formation energy: 0.679 eV/atom

Structure (Quantum ESPRESSO input):
```
&SYSTEM
  ibrav = 0, nat = 3, ntyp = 3
/
ATOMIC_SPECIES
Re 186.21 Re.upf
As 74.92 As.upf
In 114.82 In.upf
CELL_PARAMETERS angstrom
-3.7067 -1.6003 1.6650
0.1034 -2.4130 3.6386
-1.5908 1.6111 3.7345
ATOMIC_POSITIONS angstrom
Re -3.8956 -1.8017 6.7786
As 0.0000 0.0000 0.0000
In -2.5971 -1.2011 4.5190
```



No. 7
Material: CdMoW2
Method: DFT, PBEsol
State: relaxed Values from VASP.

Calculated values
total magnetization: 0.0 μB/cell
space group: No. 139
DFT formation energy: 0.582 eV/atom

Structure (Quantum ESPRESSO input):
```
&SYSTEM
  ibrav = 0, nat = 4, ntyp = 3
/
ATOMIC_SPECIES
Cd 112.41 Cd.upf
Mo 95.94 Mo.upf
W 183.84 W.upf
CELL_PARAMETERS angstrom
-1.9291 -3.2116 -1.2233
-0.1854 -1.3035 3.7147
-2.5710 4.2408 -0.7309
ATOMIC_POSITIONS angstrom
Cd -1.0573 -2.2575 1.2457
Mo 0.0000 0.0000 0.0000
W -2.7787 -0.6142 -0.3542
W -1.9068 0.3399 2.1147
```



No. 8
Material: Ba2PN
Method: DFT, PBEsol
State: relaxed Values from VASP.

Calculated values
total magnetization: 2.0 μB/cell
space group: No. 225
E_form (uncorrected): -0.105 eV per atom

Structure (Quantum ESPRESSO input):
```
&SYSTEM
  ibrav = 0, nat = 4, ntyp = 3
/
ATOMIC_SPECIES
P 30.97 P.upf
Ba 137.33 Ba.upf
N 14.01 N.upf
CELL_PARAMETERS angstrom
5.2392 0.0000 0.0000
2.6196 4.5373 0.0000
2.6196 1.5124 4.2778
ATOMIC_POSITIONS angstrom
P 5.2392 3.0248 2.1389
Ba 2.6196 1.5124 1.0694
Ba 7.8587 4.5373 3.2083
N 0.0000 0.0000 0.0000
```